# Hf2CoIr | Alexandria | PBEsol | optimized geometry
data_Hf2CoIr
_space_group_name_H-M_alt 'P 1'
_space_group_IT_number 1
_cell_length_a 4.504
_cell_length_b 4.504
_cell_length_c 4.504
_cell_angle_alpha 60.00
_cell_angle_beta 60.00
_cell_angle_gamma 60.00
loop_
_space_group_symop_operation_xyz
'x,y,z'
loop_
_atom_site_label
_atom_site_type_symbol
_atom_site_fract_x
_atom_site_fract_y
_atom_site_fract_z
_atom_site_occupancy
Hf1 Hf 0.250 0.250 0.250 1
Hf2 Hf 0.750 0.750 0.750 1
Co1 Co 0.000 0.000 0.000 1
Ir1 Ir 0.500 0.500 0.500 1
# Space-group type = Fm-3m, No. 225



# Hf2Co2Ir | Alexandria | PBEsol | optimized geometry
data_Hf2Co2Ir
_space_group_name_H-M_alt 'P 1'
_space_group_IT_number 1
_cell_length_a 6.604
_cell_length_b 6.604
_cell_length_c 3.370
_cell_angle_alpha 90.00
_cell_angle_beta 90.00
_cell_angle_gamma 90.00
loop_
_space_group_symop_operation_xyz
'x,y,z'
loop_
_atom_site_label
_atom_site_type_symbol
_atom_site_fract_x
_atom_site_fract_y
_atom_site_fract_z
_atom_site_occupancy
Hf1 Hf 0.183 0.317 0.000 1
Hf2 Hf 0.317 0.817 0.000 1
Hf3 Hf 0.683 0.183 0.000 1
Hf4 Hf 0.817 0.683 0.000 1
Co1 Co 0.119 0.619 0.500 1
Co2 Co 0.381 0.119 0.500 1
Co3 Co 0.619 0.881 0.500 1
Co4 Co 0.881 0.381 0.500 1
Ir1 Ir 0.000 0.000 0.500 1
Ir2 Ir 0.500 0.500 0.500 1
# Space-group type = P4/mbm, No. 127



# HfCo3Ir | Alexandria | PBEsol | optimized geometry
data_HfCo3Ir
_space_group_name_H-M_alt 'P 1'
_space_group_IT_number 1
_cell_length_a 4.300
_cell_length_b 4.300
_cell_length_c 4.300
_cell_angle_alpha 90.00
_cell_angle_beta 90.00
_cell_angle_gamma 90.00
loop_
_space_group_symop_operation_xyz
'x,y,z'
loop_
_atom_site_label
_atom_site_type_symbol
_atom_site_fract_x
_atom_site_fract_y
_atom_site_fract_z
_atom_site_occupancy
Hf1 Hf 0.000 0.000 0.000 1
Co1 Co 0.000 0.000 0.500 1
Co2 Co 0.000 0.500 0.000 1
Co3 Co 0.500 0.000 0.000 1
Ir1 Ir 0.500 0.500 0.500 1
# Space-group type = Pm-3m, No. 221



# KHf2Co | Alexandria | PBEsol | optimized geometry
data_KHf2Co
_space_group_name_H-M_alt 'P 1'
_space_group_IT_number 1
_cell_length_a 4.706
_cell_length_b 4.706
_cell_length_c 4.706
_cell_angle_alpha 60.00
_cell_angle_beta 60.00
_cell_angle_gamma 60.00
loop_
_space_group_symop_operation_xyz
'x,y,z'
loop_
_atom_site_label
_atom_site_type_symbol
_atom_site_fract_x
_atom_site_fract_y
_atom_site_fract_z
_atom_site_occupancy
K1 K 0.000 0.000 0.000 1
Hf1 Hf 0.250 0.250 0.250 1
Hf2 Hf 0.750 0.750 0.750 1
Co1 Co 0.500 0.500 0.500 1
# Space-group type = Fm-3m, No. 225



# KHfCo2 | Alexandria | PBEsol | optimized geometry
data_KHfCo2
_space_group_name_H-M_alt 'P 1'
_space_group_IT_number 1
_cell_length_a 4.517
_cell_length_b 4.517
_cell_length_c 4.517
_cell_angle_alpha 60.00
_cell_angle_beta 60.00
_cell_angle_gamma 60.00
loop_
_space_group_symop_operation_xyz
'x,y,z'
loop_
_atom_site_label
_atom_site_type_symbol
_atom_site_fract_x
_atom_site_fract_y
_atom_site_fract_z
_atom_site_occupancy
K1 K 0.000 0.000 0.000 1
Hf1 Hf 0.500 0.500 0.500 1
Co1 Co 0.250 0.250 0.250 1
Co2 Co 0.750 0.750 0.750 1
# Space-group type = Fm-3m, No. 225



# LaHfNb2Co | Alexandria | PBEsol | optimized geometry
data_LaHfNb2Co
_space_group_name_H-M_alt 'P 1'
_space_group_IT_number 1
_cell_length_a 4.976
_cell_length_b 4.976
_cell_length_c 4.585
_cell_angle_alpha 90.00
_cell_angle_beta 90.00
_cell_angle_gamma 90.00
loop_
_space_group_symop_operation_xyz
'x,y,z'
loop_
_atom_site_label
_atom_site_type_symbol
_atom_site_fract_x
_atom_site_fract_y
_atom_site_fract_z
_atom_site_occupancy
La1 La 0.000 0.000 0.000 1
Hf1 Hf 0.500 0.500 0.500 1
Nb1 Nb 0.000 0.500 0.500 1
Nb2 Nb 0.500 0.000 0.500 1
Co1 Co 0.500 0.500 0.000 1
# Space-group type = P4/mmm, No. 123



Number 1: Fermi-level density of states 1.04 states/eV/atom, calculated formation energy -0.67 eV/atom. Number 2: Fermi-level density of states 0.73 states/eV/atom, calculated formation energy -0.54 eV/atom. Number 3: Fermi-level density of states 1.23 states/eV/atom, calculated formation energy 1.73 eV/atom. Number 4: Fermi-level density of states 0.50 states/eV/atom, calculated formation energy 0.92 eV/atom. Number 5: Fermi-level density of states 0.76 states/eV/atom, calculated formation energy 0.95 eV/atom. Number 6: Fermi-level density of states 1.52 states/eV/atom, calculated formation energy 1.09 eV/atom.